Compound: Mg2Ag6Au
Source: Alexandria via LeMat-Bulk
Functional: PBE
Structure: relaxed

Unit cell a=2.910 b=8.414 c=8.170 alpha=120.99 beta=101.66 gamma=90.00
Fractional coordinates of all 9 atoms:
1 Ag 0.155 0.007 0.351
2 Ag 0.500 0.318 0.000
3 Ag 0.845 0.993 0.649
4 Ag 0.845 0.656 0.649
5 Ag 0.155 0.344 0.351
6 Ag 0.500 0.682 0.000
7 Mg 0.182 0.657 0.314
8 Mg 0.818 0.343 0.686
9 Au 0.000 0.000 0.000

Output
Energy of formation, eV per formula unit: -0.50
SG: C2/m (12)
E, eV per atom: -2.6746